[1]
# PBE-GGA LiNiSe2Br, relaxed
# DOS at the Fermi energy, states/eV/f.u.: 10.1
# Energy above the most stable polymorph in this dataset, eV per atom: 0.722
# Crystal system: tetragonal
# ΔE_f (raw), kcal/mol of atoms: 12.6
data_LiNiSe2Br
_chemical_formula_sum 'Li1 Ni1 Se2 Br1'
_cell_length_a 4.6207
_cell_length_b 4.6207
_cell_length_c 4.9499
_cell_angle_alpha 90.00
_cell_angle_beta 90.00
_cell_angle_gamma 90.00
_space_group_name_H-M_alt 'P 4/m m m'
_space_group_IT_number 123
_space_group_name_Hall '-P 4 2'
loop_
_atom_site_label
_atom_site_fract_x
_atom_site_fract_y
_atom_site_fract_z
Li1 0.0000 0.0000 0.0000
Ni1 0.5000 0.5000 0.5000
Se1 0.0000 0.5000 0.0000
Br1 0.0000 0.0000 0.5000



[2]
# PBE-GGA ZnRe2N, relaxed
# DOS at the Fermi energy, states/eV/f.u.: 5.5
# Energy above the most stable polymorph in this dataset, eV per atom: 0.362
# Crystal system: cubic
# ΔE_f (raw), kcal/mol of atoms: 31.4
data_ZnRe2N
_chemical_formula_sum 'Zn4 Re8 N4'
_cell_length_a 5.8359
_cell_length_b 5.8359
_cell_length_c 5.8359
_cell_angle_alpha 90.00
_cell_angle_beta 90.00
_cell_angle_gamma 90.00
_space_group_name_H-M_alt 'F m -3 m'
_space_group_IT_number 225
_space_group_name_Hall '-F 4 2 3'
loop_
_atom_site_label
_atom_site_fract_x
_atom_site_fract_y
_atom_site_fract_z
Zn1 0.0000 0.0000 0.0000
Re1 0.2500 0.2500 0.2500
N1 0.0000 0.0000 0.5000